This record from Alexandria via LeMat-Bulk describes crystalline RbTlAsSe at its relaxed geometry. The functional is PBE-GGA.

Lattice parameters (Å, degrees): 12.4587 3.9509 5.6002 90.00 99.34 90.00
Positions (direct):
Rb  0.0000  0.0000  0.0000
Rb  0.5000  0.5000  0.0000
Tl  0.2236  0.5000  0.5591
Tl  0.7236  0.0000  0.5591
As  0.2833  0.0000  0.1831
As  0.7833  0.5000  0.1831
Se  0.4456  0.0000  0.4727
Se  0.9456  0.5000  0.4727

Summary:
- ρ (Mg/m³) = 5.42
- DOS at the Fermi energy (states/eV/f.u.) = 1.9
- energy above the most stable polymorph in this dataset (eV/f.u.) = 0.14
- E_form (uncorrected) (eV/atom) = -0.34